Record 1
## YZr2Co9 (PBE-GGA)

Data for YZr2Co9 after structural relaxation.

```
YZr2Co9
1.0
4.859 0.000 0.000
-2.429 4.208 0.000
2.429 1.403 8.073
Y Zr Co
1 2 9
direct
0.280 0.140 0.580
0.728 0.864 0.408
0.000 0.000 0.000
0.660 0.583 0.758
0.165 0.583 0.758
0.660 0.077 0.758
0.337 0.417 0.245
0.835 0.417 0.245
0.337 0.920 0.245
0.668 0.334 0.998
0.330 0.665 0.006
0.000 0.500 0.500
```

Total DFT energy (no corrections) (eV per atom): -7.491
Calculated density (g/cm3): 8.066
Symmetry: R3m


Record 2
## TbErGaHg (PBE-GGA)

Data for TbErGaHg after structural relaxation.

```
TbErGaHg
1.0
3.611 0.000 0.000
0.000 3.611 0.000
0.000 0.000 7.403
Tb Er Ga Hg
1 1 1 1
direct
0.000 0.000 0.842
0.000 0.000 0.370
0.500 0.500 0.602
0.500 0.500 0.114
```

Total DFT energy (no corrections) (eV per atom): -3.661
Calculated density (g/cm3): 10.262
Symmetry: P4mm


Record 3
## Ac2Ho3Se6 (PBE-GGA)

Data for Ac2Ho3Se6 after structural relaxation.

```
Ac2Ho3Se6
1.0
-5.152 -4.856 1.444
1.641 -6.083 3.477
-2.986 1.595 6.688
Ac Ho Se
2 3 6
direct
0.166 0.668 0.500
0.834 0.332 0.500
0.000 0.000 0.000
0.335 0.331 0.000
0.665 0.669 0.000
0.408 0.672 0.775
0.736 0.000 0.771
0.080 0.328 0.775
0.264 0.000 0.229
0.592 0.328 0.225
0.920 0.672 0.225
```

Total DFT energy (no corrections) (eV per atom): -5.762
Calculated density (g/cm3): 7.395
Symmetry: C2/m